w.
A relaxed structure of Ho2Sn2O5, computed with GGA-PBE.

crystal system: tetragonal
calculated density: 8.123 g/cm³
calculated volume: 132 Å³/cell

Geometry as POSCAR:
```
Ho2Sn2O5
1.0
9.385 0.000 0.000
0.000 3.755 0.000
0.000 0.000 3.755
O Ho Sn
5 2 2
Cartesian
1.266 0.000 1.877
1.266 1.877 0.000
8.119 1.877 0.000
4.692 1.877 1.877
8.119 0.000 1.877
6.989 1.877 1.877
2.395 1.877 1.877
0.000 0.000 0.000
4.692 0.000 0.000
```


x.
A relaxed structure of Ho2Sn2O5, computed with GGA-PBE.

crystal system: tetragonal
calculated density: 8.712 g/cm³
calculated volume: 123 Å³/cell

Geometry as POSCAR:
```
Ho2Sn2O5
1.0
-1.127 1.744 -6.589
3.860 -1.379 -1.025
-1.575 -3.849 -0.750
O Sn Ho
5 2 2
Cartesian
1.080 0.626 -5.482
-1.064 -1.496 -1.995
0.579 -1.742 -4.182
-1.637 -0.609 -5.344
1.653 -0.261 -2.133
0.249 -1.231 -6.112
0.910 -2.253 -2.252
-0.563 0.872 -3.295
0.000 0.000 0.000
```


Sorted by energy, starting with the most stable: w, x.


w.
A relaxed structure of Ho2Tl2O5, computed with GGA-PBE.

crystal system: tetragonal
calculated density: 10.421 g/cm³
calculated volume: 130 Å³/cell

Geometry as POSCAR:
```
Ho2Tl2O5
1.0
-0.207 -6.855 1.537
4.301 -0.169 -0.172
0.205 0.936 4.200
O Tl Ho
5 2 2
Cartesian
1.995 -5.246 1.071
2.150 -3.044 2.783
-0.054 -4.694 3.258
0.051 -1.225 2.480
2.100 -1.777 0.293
2.213 -0.937 2.310
2.086 -5.151 3.255
0.000 0.000 0.000
-0.104 -3.427 0.769
```


x.
A relaxed structure of Ho2Tl2O5, computed with GGA-PBE.

crystal system: tetragonal
calculated density: 9.377 g/cm³
calculated volume: 145 Å³/cell

Geometry as POSCAR:
```
Ho2Tl2O5
1.0
8.450 0.000 0.000
0.000 4.142 0.000
0.000 0.000 4.142
O Tl Ho
5 2 2
Cartesian
7.058 2.071 0.000
4.225 2.071 2.071
7.058 0.000 2.071
1.392 2.071 0.000
1.392 0.000 2.071
4.225 0.000 0.000
0.000 0.000 0.000
2.083 2.071 2.071
6.367 2.071 2.071
```


Sorted by energy, starting with the most stable: x, w.


w.
A relaxed structure of Y2Ho2O5, computed with GGA-PBE.

crystal system: tetragonal
calculated density: 6.875 g/cm³
calculated volume: 142 Å³/cell

Geometry as POSCAR:
```
Y2Ho2O5
1.0
-6.208 2.101 -6.984
-0.598 -3.756 -0.598
-2.870 0.049 2.566
O Y Ho
5 2 2
Cartesian
-4.838 -0.803 -2.508
-5.613 -0.079 -6.277
-6.749 1.823 -4.695
-1.193 -1.575 -1.304
-2.329 0.327 0.278
0.000 0.000 0.000
-3.104 1.050 -3.492
-6.444 -0.260 -4.314
-3.232 -1.347 -0.701
```


x.
A relaxed structure of Y2Ho2O5, computed with GGA-PBE.

crystal system: tetragonal
calculated density: 6.824 g/cm³
calculated volume: 143 Å³/cell

Geometry as POSCAR:
```
Y2Ho2O5
1.0
9.569 0.000 0.000
0.000 3.866 0.000
0.000 0.000 3.866
O Ho Y
5 2 2
Cartesian
1.360 0.000 1.933
8.209 0.000 1.933
8.209 1.933 0.000
4.785 1.933 1.933
1.360 1.933 0.000
4.785 0.000 0.000
0.000 0.000 0.000
2.305 1.933 1.933
7.264 1.933 1.933
```


Sorted by energy, starting with the most stable: w, x.


w.
A relaxed structure of Ho2Zn2O5, computed with GGA-PBE.

crystal system: tetragonal
calculated density: 8.487 g/cm³
calculated volume: 106 Å³/cell

Geometry as POSCAR:
```
Ho2Zn2O5
1.0
-3.878 3.494 4.661
-1.160 -3.367 1.559
3.021 0.092 2.445
Ho O Zn
2 5 2
Cartesian
0.000 0.000 0.000
-1.939 1.747 2.331
0.726 0.753 2.166
-3.673 1.104 4.498
-1.582 2.833 4.941
-1.365 -0.977 1.723
-1.008 0.109 4.333
-2.078 1.073 5.619
0.062 -0.855 3.047
```


x.
A relaxed structure of Ho2Zn2O5, computed with GGA-PBE.

crystal system: tetragonal
calculated density: 6.767 g/cm³
calculated volume: 133 Å³/cell

Geometry as POSCAR:
```
Ho2Zn2O5
1.0
-1.714 7.655 -3.513
-3.850 -0.706 0.339
0.013 1.641 3.570
Ho O Zn
2 5 2
Cartesian
-2.336 2.334 1.098
-3.214 6.255 -0.702
-2.178 0.775 -0.349
-0.246 1.949 1.267
-1.455 7.347 -1.210
-3.386 6.173 -2.826
-2.775 4.295 0.198
0.000 0.000 0.000
-0.857 3.827 -1.756
```


Sorted by energy, starting with the most stable: w, x.


w.
A relaxed structure of Ho2Zr2O5, computed with GGA-PBE.

crystal system: tetragonal
calculated density: 7.871 g/cm³
calculated volume: 125 Å³/cell

Geometry as POSCAR:
```
Ho2Zr2O5
1.0
-1.415 6.573 3.087
-2.427 0.968 -3.172
-3.222 -1.619 1.971
O Ho Zr
5 2 2
Cartesian
-2.652 4.027 3.257
-3.532 2.961 0.943
-1.587 2.221 -0.770
-2.254 5.320 0.685
-1.985 0.927 1.801
-0.707 3.287 1.544
0.000 0.000 0.000
-3.932 4.820 1.816
-3.132 1.102 0.070
```


x.
A relaxed structure of Ho2Zr2O5, computed with GGA-PBE.

crystal system: tetragonal
calculated density: 7.817 g/cm³
calculated volume: 126 Å³/cell

Geometry as POSCAR:
```
Ho2Zr2O5
1.0
-7.067 2.630 -4.473
-2.045 -0.073 3.188
0.919 3.613 0.673
O Zr Ho
5 2 2
Cartesian
-1.998 0.326 0.977
-4.097 3.085 -0.306
-0.516 2.169 -0.281
-5.633 4.074 -3.520
-7.115 2.231 -2.262
-3.534 1.315 -2.237
0.000 0.000 0.000
-2.367 2.441 0.789
-5.827 3.729 -1.402
```


Sorted by energy, starting with the most stable: w, x.


w.
A relaxed structure of Ho3Tm3Sb2Os, computed with GGA-PBE.

crystal system: hexagonal
calculated density: 9.960 g/cm³
calculated volume: 239 Å³/cell

Geometry as POSCAR:
```
Ho3Tm3Sb2Os
1.0
-5.734 3.790 4.332
-1.421 -2.007 -7.744
-1.512 -3.702 1.237
Tm Sb Ho Os
3 2 3 1
Cartesian
-3.494 2.309 2.640
-2.795 0.696 -1.333
-0.866 -1.223 -4.719
-3.615 -1.926 -3.100
-5.053 0.006 0.925
-6.204 -0.494 -1.979
-1.095 -2.330 -1.229
-2.124 -0.947 1.652
0.000 0.000 0.000
```


x.
A relaxed structure of Ho3Tm3Sb2Os, computed with GGA-PBE.

crystal system: hexagonal
calculated density: 9.986 g/cm³
calculated volume: 239 Å³/cell

Geometry as POSCAR:
```
Ho3Tm3Sb2Os
1.0
-7.447 1.984 -2.498
4.154 -5.794 -3.848
-1.633 -2.884 2.579
Ho Sb Os Tm
3 2 1 3
Cartesian
2.525 -3.521 -2.338
-1.292 -1.495 -2.490
-4.526 1.206 -1.518
-0.529 -4.643 -2.109
-4.397 -2.051 -1.659
0.000 0.000 0.000
-2.569 -0.975 0.701
0.161 -2.805 0.384
-3.334 -4.355 -3.563
```


Sorted by energy, starting with the most stable: x, w.


w.
A relaxed structure of Ho3Zr3Sb2Os, computed with GGA-PBE.

crystal system: hexagonal
calculated density: 9.070 g/cm³
calculated volume: 220 Å³/cell

Geometry as POSCAR:
```
Ho3Zr3Sb2Os
1.0
7.967 0.000 0.000
-3.984 6.900 0.000
0.000 0.000 4.004
Ho Os Sb Zr
3 1 2 3
Cartesian
1.590 2.753 0.000
4.788 0.000 0.000
-2.394 4.147 0.000
0.000 0.000 0.000
3.984 2.300 2.002
0.000 4.600 2.002
3.045 5.274 2.002
-0.939 1.626 2.002
1.877 0.000 2.002
```


x.
A relaxed structure of Ho3Zr3Sb2Os, computed with GGA-PBE.

crystal system: hexagonal
calculated density: 9.304 g/cm³
calculated volume: 215 Å³/cell

Geometry as POSCAR:
```
Ho3Zr3Sb2Os
1.0
8.042 0.000 0.000
-4.021 6.964 0.000
0.000 0.000 3.831
Zr Ho Sb Os
3 3 2 1
Cartesian
1.593 2.760 0.000
-2.427 4.204 0.000
4.855 0.000 0.000
1.997 0.000 1.916
3.022 5.235 1.916
-0.998 1.729 1.916
0.000 4.643 1.916
4.021 2.321 1.916
0.000 0.000 0.000
```


Sorted by energy, starting with the most stable: w, x.


w.
A relaxed structure of SmHoSi2Os, computed with GGA-PBE.

crystal system: monoclinic
calculated density: 9.172 g/cm³
calculated volume: 203 Å³/cell

Geometry as POSCAR:
```
SmHoSi2Os
1.0
5.467 -2.120 0.000
5.467 2.120 0.000
-5.026 0.000 8.773
Sm Ho Os Si
2 2 2 4
Cartesian
-0.770 0.000 1.593
6.678 0.000 7.180
-1.085 0.000 5.348
6.992 0.000 3.425
3.565 0.000 7.656
2.343 0.000 1.117
2.329 0.000 5.477
3.578 0.000 3.296
6.798 0.000 0.549
-0.890 0.000 8.224
```


x.
A relaxed structure of SmHoSi2Os, computed with GGA-PBE.

crystal system: monoclinic
calculated density: 9.252 g/cm³
calculated volume: 202 Å³/cell

Geometry as POSCAR:
```
SmHoSi2Os
1.0
5.362 -2.123 0.000
5.362 2.123 0.000
-4.880 0.000 8.855
Ho Sm Si Os
2 2 4 2
Cartesian
9.089 0.000 2.871
-3.245 0.000 5.984
1.485 0.000 0.978
4.358 0.000 7.877
4.179 0.000 4.958
1.665 0.000 3.897
1.109 0.000 7.722
4.735 0.000 1.133
6.002 0.000 3.326
-0.158 0.000 5.529
```


Sorted by energy, starting with the most stable: x, w.